A geometry-optimized Ni4Rh2O structure, computed with PBE+U.

abc: 3.8414 3.8414 12.7442
angles: 90.00 90.00 90.00
Space group I4/mmm (No. 139)
Inequivalent atoms, fractional coordinates:
Ni: 0.0000 0.0000 0.1605 [4 per cell]
Ni: 0.0000 0.5000 0.0000 [4 per cell]
Rh: 0.0000 0.0000 0.3527 [4 per cell]
O: 0.0000 0.0000 0.0000 [2 per cell]

Output
The value obtained for the total energy is -3.772 eV per atom.